# MoP2O2

A geometry-optimized MoP2O2 structure (PBE with a Hubbard U, the Alexandria database).

Geometry as POSCAR:
```
MoP2O2
1.0
3.791 0.000 0.000
0.000 3.791 0.000
0.000 0.000 5.517
Mo P O
1 2 2
direct
0.000 0.000 0.000
0.000 0.000 0.500
0.500 0.500 0.500
0.000 0.500 0.000
0.500 0.000 0.000
```

Its density of states at the Fermi level is 1.9 states/eV/f.u. The space group is P4/mmm. The calculation puts the volume at 15.86 A^3/atom. The crystal system is tetragonal. The energy above the most stable polymorph in this dataset is 0.000 eV/atom.